The following is a PBE calculation of a relaxed Ba2TiAlS6 crystal, from the Alexandria database.

a b c (Å): 6.8150 6.8150 34.1157
angles (deg): 90.00 90.00 120.00
With the nearest neighbours (Å) after each atom.
Space group R-3m (No. 166, hexagonal axes)
Symmetry-distinct sites (fractional):
Ba 0.0000 0.0000 0.1247 x6  12 S 3.41-3.50
Ba 0.0000 0.0000 0.2911 x6  12 S 3.41-3.46
Ti 0.0000 0.0000 0.4154 x6  6 S 2.42-2.44
Al 0.0000 0.0000 0.0000 x3  6 S 2.38
Al 0.0000 0.0000 0.5000 x3  6 S 2.41
S 0.0044 0.5022 0.7073 x18  1 Al 2.38, 1 Ti 2.44
S 0.0058 0.5029 0.1246 x18  1 Al 2.41, 1 Ti 2.42

Crystal system ... trigonal
DOS at the Fermi energy ... 0.70 states/eV/atom
Formation energy from raw total energies ... -1.438 eV per atom
Volume ... 1372 Å³ per cell

The following is a PBE calculation of a relaxed Ba2AlTlS5 crystal, from the Alexandria database.

a b c (Å): 4.0037 19.4344 12.4530
angles (deg): 90.00 90.00 90.00
With the nearest neighbours (Å) after each atom.
Space group Cmc2_1 (No. 36)
Symmetry-distinct sites (fractional):
Ba 0.0000 0.1144 0.0000 x4  8 S 3.17-3.51
Ba 0.0000 0.1159 0.6156 x4  6 S 3.12-3.22
Al 0.0000 0.4387 0.7637 x4  4 S 2.24-2.35
Tl 0.0000 0.2247 0.3410 x4  5 S 2.56-2.80
S 0.0000 0.0416 0.3584 x4  2 Al 2.35
S 0.0000 0.2836 0.9873 x4  2 Tl 2.71
S 0.0000 0.3258 0.7053 x4  1 Al 2.31
S 0.0000 0.3548 0.3083 x4  1 Tl 2.56
S 0.0000 0.4927 0.6049 x4  1 Al 2.24

Crystal system ... orthorhombic
Formation energy from raw total energies ... -1.280 eV per atom
Volume ... 969 Å³ per cell

The following is a PBE calculation of a relaxed BaTmAlS4 crystal, from the Alexandria database.

a b c (Å): 6.5026 6.7141 8.4339
angles (deg): 90.00 107.49 90.00
With the nearest neighbours (Å) after each atom.
Space group P2_1/m (No. 11)
Symmetry-distinct sites (fractional):
Ba 0.2460 0.2500 0.4384 x2  4 S 3.00-3.33
Tm 0.2821 0.2500 0.9497 x2  6 S 2.69-2.82
Al 0.2625 0.7500 0.1701 x2  4 S 2.20-2.26
S 0.0423 0.7500 0.9142 x2  1 Al 2.20
S 0.0658 0.7500 0.3459 x2  1 Al 2.23
S 0.4973 0.5027 0.7876 x4  1 Al 2.26

Crystal system ... monoclinic
DOS at the Fermi energy ... 0.00 states/eV/atom
Formation energy from raw total energies ... -1.750 eV per atom
Volume ... 351 Å³ per cell

The following is a PBE calculation of a relaxed Ba2AlVS6 crystal, from the Alexandria database.

a b c (Å): 6.7825 6.7825 33.6982
angles (deg): 90.00 90.00 120.00
With the nearest neighbours (Å) after each atom.
Space group R-3m (No. 166, hexagonal axes)
Symmetry-distinct sites (fractional):
Ba 0.0000 0.0000 0.1220 x6  12 S 3.36-3.58
Ba 0.0000 0.0000 0.2933 x6  12 S 3.36-3.46
Al 0.0000 0.0000 0.0000 x3  6 S 2.40
Al 0.0000 0.0000 0.5000 x3  6 S 2.39
V 0.0000 0.0000 0.4148 x6  6 S 2.37-2.38
S 0.9999 0.5000 0.2922 x18  1 V 2.38, 1 Al 2.40
S 0.0102 0.5051 0.1236 x18  1 V 2.37, 1 Al 2.39

Crystal system ... trigonal
DOS at the Fermi energy ... 0.35 states/eV/atom
Formation energy from raw total energies ... -1.286 eV per atom
Volume ... 1343 Å³ per cell

The following is a PBE calculation of a relaxed BaYAlS4 crystal, from the Alexandria database.

a b c (Å): 6.5579 6.7217 8.4604
angles (deg): 90.00 107.50 90.00
With the nearest neighbours (Å) after each atom.
Space group P2_1/m (No. 11)
Symmetry-distinct sites (fractional):
Ba 0.2430 0.2500 0.4369 x2  6 S 3.02-3.37
Y 0.2798 0.2500 0.9488 x2  6 S 2.74-2.85
Al 0.2644 0.7500 0.1733 x2  4 S 2.21-2.26
S 0.0502 0.7500 0.9156 x2  1 Al 2.21
S 0.0683 0.7500 0.3482 x2  1 Al 2.23
S 0.4985 0.5030 0.7833 x4  1 Al 2.26

Crystal system ... monoclinic
DOS at the Fermi energy ... 0.00 states/eV/atom
Formation energy from raw total energies ... -1.766 eV per atom
Volume ... 356 Å³ per cell

The following is a PBE calculation of a relaxed Ba2ZrAlS5 crystal, from the Alexandria database.

a b c (Å): 3.9422 18.0167 13.0535
angles (deg): 90.00 90.00 90.00
With the nearest neighbours (Å) after each atom.
Space group Cmc2_1 (No. 36)
Symmetry-distinct sites (fractional):
Ba 0.0000 0.1232 0.0000 x4  7 S 3.14-3.41
Ba 0.0000 0.1332 0.6300 x4  7 S 3.13-3.36
Zr 0.0000 0.2069 0.3383 x4  5 S 2.49-2.74
Al 0.0000 0.4372 0.7423 x4  4 S 2.21-2.34
S 0.0000 0.0512 0.3381 x4  2 Al 2.34
S 0.0000 0.2979 0.9694 x4  2 Zr 2.61
S 0.0000 0.3139 0.6950 x4  1 Al 2.31
S 0.0000 0.3444 0.3185 x4  1 Zr 2.49
S 0.0000 0.4982 0.5957 x4  1 Al 2.21

Crystal system ... orthorhombic
DOS at the Fermi energy ... 0.29 states/eV/atom
Formation energy from raw total energies ... -1.665 eV per atom
Volume ... 927 Å³ per cell

The following is a PBE calculation of a relaxed BaZrAlS4 crystal, from the Alexandria database.

a b c (Å): 10.5841 10.5841 10.5841
angles (deg): 90.00 90.00 90.00
With the nearest neighbours (Å) after each atom.
Space group F-43m (No. 216)
Symmetry-distinct sites (fractional):
Ba 0.0000 0.0000 0.0000 x4  12 S 4.40, 4 Zr 4.58
Zr 0.2500 0.2500 0.7500 x4  4 S 2.38
Al 0.0000 0.0000 0.5000 x4  4 S 2.21
S 0.1204 0.1204 0.6204 x16  1 Al 2.21, 1 Zr 2.38

Crystal system ... cubic
DOS at the Fermi energy ... 0.86 states/eV/atom
Formation energy from raw total energies ... -0.949 eV per atom
Volume ... 1186 Å³ per cell

The following is a PBE calculation of a relaxed Ba2AlSb crystal, from the Alexandria database.

a b c (Å): 8.3999 8.3999 8.3999
angles (deg): 90.00 90.00 90.00
With the nearest neighbours (Å) after each atom.
Space group Fm-3m (No. 225)
Symmetry-distinct sites (fractional):
Ba 0.2500 0.2500 0.2500 x8  4 Sb 3.64, 4 Al 3.64
Al 0.0000 0.0000 0.0000 x4  8 Ba 3.64
Sb 0.0000 0.0000 0.5000 x4  8 Ba 3.64

Crystal system ... cubic
DOS at the Fermi energy ... 0.97 states/eV/atom
Formation energy from raw total energies ... -0.408 eV per atom
Offset from the most stable computed form ... 0.808 eV per formula unit
Volume ... 593 Å³ per cell

The following is a PBE calculation of a relaxed Ba2AlSb crystal, from the Alexandria database.

a b c (Å): 5.3882 5.3882 9.9434
angles (deg): 90.00 90.00 90.00
With the nearest neighbours (Å) after each atom.
Space group I4/mmm (No. 139)
Symmetry-distinct sites (fractional):
Ba 0.0000 0.5000 0.2500 x4  4 Sb 3.67, 4 Al 3.67, 4 Ba 3.81
Al 0.0000 0.0000 0.0000 x2  8 Ba 3.67, 4 Sb 3.81
Sb 0.0000 0.0000 0.5000 x2  8 Ba 3.67, 4 Al 3.81

Crystal system ... tetragonal
DOS at the Fermi energy ... 0.40 states/eV/atom
Formation energy from raw total energies ... -0.439 eV per atom
Offset from the most stable computed form ... 0.683 eV per formula unit
Volume ... 289 Å³ per cell

The following is a PBE calculation of a relaxed BaAlSb2 crystal, from the Alexandria database.

a b c (Å): 4.2949 4.0688 7.0213
angles (deg): 90.00 95.23 90.00
With the nearest neighbours (Å) after each atom.
Space group P2/m (No. 10)
Symmetry-distinct sites (fractional):
Ba 0.0000 0.0000 0.0000 x1  2 Al 3.51, 8 Sb 3.59-3.69
Al 0.0000 0.0000 0.5000 x1  4 Sb 3.01
Sb 0.4348 0.5000 0.6964 x2  1 Sb 2.86, 2 Al 3.01

Crystal system ... monoclinic
DOS at the Fermi energy ... 0.49 states/eV/atom
Formation energy from raw total energies ... -0.297 eV per atom
Volume ... 122 Å³ per cell

The following is a PBE calculation of a relaxed BaAlSb2 crystal, from the Alexandria database.

a b c (Å): 7.9124 7.9124 7.9124
angles (deg): 90.00 90.00 90.00
With the nearest neighbours (Å) after each atom.
Space group F-43m (No. 216)
Symmetry-distinct sites (fractional):
Ba 0.0000 0.0000 0.0000 x4  4 Sb 3.43, 4 Al 3.43
Al 0.2500 0.2500 0.2500 x4  4 Ba 3.43, 4 Sb 3.43
Sb 0.0000 0.0000 0.5000 x4  4 Al 3.43, 4 Sb 3.43
Sb 0.2500 0.2500 0.7500 x4  4 Ba 3.43, 4 Sb 3.43

Crystal system ... cubic
DOS at the Fermi energy ... 1.06 states/eV/atom
Formation energy from raw total energies ... -0.075 eV per atom
Volume ... 495 Å³ per cell

The following is a PBE calculation of a relaxed BaAlSb2 crystal, from the Alexandria database.

a b c (Å): 4.2754 4.2754 24.5462
angles (deg): 90.00 90.00 120.00
With the nearest neighbours (Å) after each atom.
Space group R-3m (No. 166, hexagonal axes)
Symmetry-distinct sites (fractional):
Ba 0.0000 0.0000 0.0000 x3  6 Sb 3.56
Al 0.0000 0.0000 0.5000 x3  6 Sb 2.90
Sb 0.0000 0.0000 0.2286 x6  3 Al 2.90

Crystal system ... trigonal
DOS at the Fermi energy ... 0.81 states/eV/atom
Formation energy from raw total energies ... -0.299 eV per atom
Volume ... 389 Å³ per cell

Q: Among the records above, which one has the lowest formation energy from raw total energies?
A: BaYAlS4

Q: The lowest volume belongs to which entry?
A: number 10

Q: What is the formation energy from raw total energies in the seventh record?
A: -0.949 eV per atom